TlReIr2 after structural relaxation. Source: Alexandria, functional PBE.

POSCAR file:
```
TlReIr2
1.0
-3.146 5.010 -2.537
-2.315 -4.028 1.456
-1.590 1.567 1.813
Re Ir Tl
1 2 1
Direct
0.000 0.500 0.500
0.000 0.000 0.000
0.500 0.000 0.500
0.500 0.500 0.000
```

size of the total moment	0.000	μB/atom
SG	Cmmm (65)

TlRe2Ir after structural relaxation. Source: Alexandria, functional PBE.

POSCAR file:
```
TlRe2Ir
1.0
9.378 -0.024 -0.014
8.940 2.830 -0.014
8.940 1.369 2.476
Ir Re Tl
1 2 1
Direct
0.743 0.743 0.743
0.258 0.258 0.258
0.000 0.000 0.000
0.499 0.499 0.499
```

size of the total moment	0.000	μB/atom
SG	R3m (160)

TlRe2Ir after structural relaxation. Source: Alexandria, functional PBE.

POSCAR file:
```
TlRe2Ir
1.0
-8.925 2.799 1.835
-9.364 -0.024 1.782
-8.474 1.238 4.186
Re Tl Ir
2 1 1
Direct
0.493 0.493 0.493
0.007 0.007 0.007
0.250 0.250 0.250
0.750 0.750 0.750
```

size of the total moment	0.000	μB/atom
SG	R-3m (166)

TlReIr2 after structural relaxation. Source: Alexandria, functional PBE.

POSCAR file:
```
TlReIr2
1.0
-2.486 0.691 3.724
-3.763 -2.426 0.694
-0.103 -3.136 3.269
Re Ir Tl
1 2 1
Direct
0.500 0.500 0.500
0.000 0.000 0.000
0.250 0.250 0.250
0.750 0.750 0.750
```

size of the total moment	0.000	μB/atom
SG	F-43m (216)

TlRe2Ir after structural relaxation. Source: Alexandria, functional PBE.

POSCAR file:
```
TlRe2Ir
1.0
-0.640 -2.207 -1.620
2.429 0.311 -1.382
3.764 -5.106 5.468
Re Ir Tl
2 1 1
Direct
0.000 0.000 0.976
0.000 0.000 0.524
0.500 0.500 0.750
0.500 0.500 0.250
```

size of the total moment	0.000	μB/atom
SG	P4/mmm (123)

TlRe2Ir after structural relaxation. Source: Alexandria, functional PBE.

POSCAR file:
```
TlRe2Ir
1.0
-3.740 -1.944 2.547
-0.091 -4.872 -0.709
3.632 3.049 1.327
Re Ir Tl
2 1 1
Direct
0.250 0.750 0.500
0.000 0.000 0.000
0.750 0.250 0.500
0.500 0.500 0.000
```

size of the total moment	0.000	μB/atom
SG	I-4m2 (119)

TlReIr2 after structural relaxation. Source: Alexandria, functional PBE.

POSCAR file:
```
TlReIr2
1.0
-3.403 0.430 8.759
-3.581 -2.411 8.358
-1.116 -1.238 9.258
Re Ir Tl
1 2 1
Direct
0.507 0.507 0.507
0.995 0.995 0.995
0.248 0.248 0.248
0.749 0.749 0.749
```

size of the total moment	0.012	μB/atom
SG	R3m (160)

TlRe2Ir after structural relaxation. Source: Alexandria, functional PBE.

POSCAR file:
```
TlRe2Ir
1.0
4.554 0.000 0.000
2.277 3.944 0.000
2.277 1.315 3.718
Re Tl Ir
2 1 1
Direct
0.000 0.000 0.000
0.250 0.250 0.250
0.750 0.750 0.750
0.500 0.500 0.500
```

size of the total moment	0.446	μB/atom
SG	F-43m (216)

TlReIr2 after structural relaxation. Source: Alexandria, functional PBE.

POSCAR file:
```
TlReIr2
1.0
9.449 -0.039 -0.023
9.021 2.810 -0.023
9.021 1.353 2.463
Re Ir Tl
1 2 1
Direct
0.250 0.250 0.250
0.508 0.508 0.508
0.992 0.992 0.992
0.750 0.750 0.750
```

size of the total moment	0.000	μB/atom
SG	R-3m (166)

TlReIr2 after structural relaxation. Source: Alexandria, functional PBE.

POSCAR file:
```
TlReIr2
1.0
-1.993 1.869 0.867
0.616 -0.612 2.732
5.516 5.852 0.067
Ir Tl Re
2 1 1
Direct
0.500 0.500 0.260
0.000 0.000 0.017
0.500 0.500 0.752
0.000 0.000 0.471
```

size of the total moment	0.000	μB/atom
SG	P4mm (99)

TlRe2Ir after structural relaxation. Source: Alexandria, functional PBE.

POSCAR file:
```
TlRe2Ir
1.0
-3.572 3.267 -1.036
-4.802 0.662 -1.006
-1.716 0.862 4.550
Re Tl Ir
2 1 1
Direct
0.987 0.987 0.030
0.513 0.513 0.470
0.750 0.750 0.750
0.250 0.250 0.250
```

size of the total moment	0.000	μB/atom
SG	C2/m (12)

TlReIr after structural relaxation. Source: Alexandria, functional PBE.

POSCAR file:
```
TlReIr
1.0
-3.854 1.921 0.760
-1.629 0.105 4.057
-0.164 3.780 2.194
Tl Ir Re
1 1 1
Direct
0.500 0.500 0.500
0.250 0.250 0.250
0.000 0.000 0.000
```

size of the total moment	0.002	μB/atom
SG	F-43m (216)

Fermi-level density of states readings, ordered: 3.88, 2.40, 4.42, 3.85, 5.06, 4.57, 4.42, 3.55, 2.81, 4.17, 3.12, 3.70 states/eV/f.u.
Offset from the most stable computed form readings, ordered: 0.337, 0.040, 0.198, 0.588, 0.256, 0.338, 0.336, 0.468, 0.167, 0.304, 0.196, 0.311 eV/atom
Energy readings, ordered: -7.61, -8.58, -8.42, -7.36, -8.37, -8.28, -7.61, -8.15, -7.78, -7.64, -8.43, -7.10 eV/atom